This record from Alexandria describes an optimized crystal structure of AcTl2In. The functional is PBE.

```
data_AcTl2In
_chemical_formula_sum 'Ac1 Tl2 In1'
_cell_length_a 4.057
_cell_length_b 4.057
_cell_length_c 7.579
_cell_angle_alpha 90.00
_cell_angle_beta 90.00
_cell_angle_gamma 90.00
_symmetry_space_group_name_H-M 'P 1'
_symmetry_Int_Tables_number 1
loop_
_symmetry_equiv_pos_as_xyz
'x,y,z'
loop_
_atom_site_label
_atom_site_type_symbol
_atom_site_fract_x
_atom_site_fract_y
_atom_site_fract_z
_atom_site_occupancy
Ac1 Ac 0.500 0.500 0.500 1
Tl1 Tl 0.000 0.000 0.782 1
Tl2 Tl 0.000 0.000 0.218 1
In1 In 0.500 0.500 0.000 1
```

Values from the calculation:
**Space-group type**: P4/mmm, No. 123
**Crystal system**: tetragonal
**Formation energy from the elements**: -0.190 eV/atom
**Final energy**: -3.085 eV per atom